Record 1
The following is a PBE-GGA calculation of a relaxed structure of SrInAuC2, from the Alexandria database.

Cell and atoms, written as CIF:
```
data_SrInAuC2
_symmetry_space_group_name_H-M 'P 4/m m m'
_symmetry_Int_Tables_number 123
_symmetry_space_group_name_Hall '-P 4 2'
_cell_length_a 4.492
_cell_length_b 4.492
_cell_length_c 5.380
_cell_angle_alpha 90.00
_cell_angle_beta 90.00
_cell_angle_gamma 90.00
loop_
_atom_site_label
_atom_site_fract_x
_atom_site_fract_y
_atom_site_fract_z
Sr1 0.000 0.000 0.000
In1 0.500 0.500 0.500
Au1 0.500 0.500 0.000
C1 0.000 0.500 0.500
```

Values from the calculation:
Volume = 109 Å³/cell
Formation energy from the elements = 1.485 eV per atom
Raw total energy = -18.721 eV for the cell shown

Record 2
The following is a PBE-GGA calculation of a relaxed structure of Ir2RuSe, from the Alexandria database.

Cell and atoms, written as CIF:
```
data_Ir2RuSe
_symmetry_space_group_name_H-M 'P m m m'
_symmetry_Int_Tables_number 47
_symmetry_space_group_name_Hall '-P 2 2'
_cell_length_a 2.835
_cell_length_b 3.781
_cell_length_c 5.658
_cell_angle_alpha 90.00
_cell_angle_beta 90.00
_cell_angle_gamma 90.00
loop_
_atom_site_label
_atom_site_fract_x
_atom_site_fract_y
_atom_site_fract_z
Ir1 0.000 0.000 0.235
Ru1 0.500 0.500 0.000
Se1 0.500 0.500 0.500
```

Values from the calculation:
Volume = 61 Å³/cell
Raw total energy = -28.885 eV for the cell shown
ΔE_f (raw) = 1.60 eV per formula unit